! TaHSeS (PBE-GGA, relaxed); values from VASP
! Symmetry: R3m, No. 160
! E_tot in eV/atom: -6.523
&SYSTEM
  ibrav = 0, nat = 4, ntyp = 4
/
ATOMIC_SPECIES
H 1.01 H.upf
S 32.06 S.upf
Se 78.96 Se.upf
Ta 180.95 Ta.upf
CELL_PARAMETERS angstrom
3.392 -0.012 -0.005
-1.686 2.944 0.005
-1.688 -0.980 7.072
ATOMIC_POSITIONS crystal
H 0.839 0.284 0.123
S 0.330 0.030 0.360
Se 0.010 0.870 0.880
Ta 0.513 0.621 0.134